Record 1
Entry from the Alexandria database: a relaxed CuSi2SeF crystal (GGA-PBE).

Unit cell a=4.103 b=5.331 c=4.103 alpha=90.00 beta=90.00 gamma=90.00
Fractional positions:
Si 0.000 0.000 0.500
Si 0.500 0.000 0.000
Cu 0.500 0.500 0.500
Se 0.000 0.500 0.000
F 0.000 0.000 0.000

Computed properties:
- E_tot: -3.659 eV per atom

=====

Record 2
Entry from the Alexandria database: a relaxed CaIr2Pt crystal (GGA-PBE).

Unit cell a=9.444 b=9.444 c=9.444 alpha=17.59 beta=17.59 gamma=17.59
Fractional positions:
Ca 0.750 0.750 0.750
Ir 0.995 0.995 0.995
Ir 0.505 0.505 0.505
Pt 0.250 0.250 0.250

Computed properties:
- Energy relative to the lowest polymorph listed for this composition: 0.413 eV/atom
- DFT formation energy: 1.1 eV per formula unit

=====

Record 3
Entry from the Alexandria database: a relaxed LaCuTeN2 crystal (GGA-PBE).

Unit cell a=4.313 b=4.313 c=4.865 alpha=90.00 beta=90.00 gamma=90.00
Each line ends with the local moment (μB).
Fractional positions:
N 0.000 0.500 0.000  0.51
N 0.500 0.000 0.000  0.51
Te 0.000 0.000 0.500  0.06
Cu 0.000 0.000 0.000  0.02
La 0.500 0.500 0.500  0.00

Computed properties:
- Energy relative to the lowest polymorph listed for this composition: 0.000 eV/atom